Entry 1:
An optimized crystal structure of Ac6SiOs2Cl3. Source: the Alexandria database, functional PBE.

Results
volume	32.963	Å³ per atom
E_form (uncorrected)	-930.6	meV per atom

a b c (Å): 7.6567 7.6567 8.2040
angles (deg): 98.99 98.99 120.03
Fractional coordinates of all 12 atoms:
1 Cl 0.1641 0.8359 0.5000
2 Os 0.6668 0.3332 0.0000
3 Cl 0.8359 0.1641 0.5000
4 Si 0.0000 0.0000 0.0000
5 Ac 0.2838 0.2838 0.7927
6 Ac 0.0685 0.4216 0.2069
7 Ac 0.7162 0.7162 0.2073
8 Ac 0.5784 0.9315 0.7931
9 Ac 0.4216 0.0685 0.2069
10 Os 0.3332 0.6668 0.0000
11 Cl 0.5000 0.5000 0.5000
12 Ac 0.9315 0.5784 0.7931

Entry 2:
An optimized crystal structure of AgH3Ir. Source: the Alexandria database, functional PBE.

Results
volume	8.836	Å³ per atom
offset from the most stable computed form	806	meV per atom

a b c (Å): 3.5351 3.5351 3.5351
angles (deg): 90.00 90.00 90.00
Fractional coordinates of all 5 atoms:
1 Ir 0.5000 0.5000 0.5000
2 H 0.0000 0.0000 0.5000
3 Ag 0.0000 0.0000 0.0000
4 H 0.5000 0.0000 0.0000
5 H 0.0000 0.5000 0.0000

Entry 3:
An optimized crystal structure of Ac2LaPrSe4. Source: the Alexandria database, functional PBE.

Results
volume	29.665	Å³ per atom
E_form (uncorrected)	-1892.3	meV per atom

a b c (Å): 4.3516 7.6136 7.5869
angles (deg): 70.76 90.00 90.00
Fractional coordinates of all 8 atoms:
1 Pr 0.0000 0.5000 0.5000
2 Ac 0.0000 0.0000 0.0000
3 La 0.5000 0.5000 0.0000
4 Se 0.0000 0.7394 0.7528
5 Ac 0.5000 0.0000 0.5000
6 Se 0.0000 0.2606 0.2472
7 Se 0.5000 0.2611 0.7455
8 Se 0.5000 0.7389 0.2545

Entry 4:
An optimized crystal structure of CsNa6Hg. Source: the Alexandria database, functional PBE.

Results
volume	42.605	Å³ per atom
DFT formation energy	-0.03	eV/atom

a b c (Å): 5.6608 5.6608 12.7094
angles (deg): 77.13 77.13 60.00
Fractional coordinates of all 8 atoms:
1 Hg 0.0000 0.0000 0.0000
2 Na 0.9141 0.9141 0.2577
3 Na 0.7297 0.7297 0.8108
4 Na 0.3615 0.3615 0.9155
5 Na 0.2703 0.2703 0.1892
6 Cs 0.5000 0.5000 0.5000
7 Na 0.6385 0.6385 0.0845
8 Na 0.0859 0.0859 0.7423

Entry 5:
An optimized crystal structure of SmDyLuSn. Source: the Alexandria database, functional PBE.

Results
volume	27.946	Å³ per atom
DFT formation energy	-0.24	eV/atom

a b c (Å): 5.4071 5.4071 5.4071
angles (deg): 60.00 60.00 60.00
Fractional coordinates of all 4 atoms:
1 Sn 0.0000 0.0000 0.0000
2 Sm 0.7500 0.7500 0.7500
3 Lu 0.5000 0.5000 0.5000
4 Dy 0.2500 0.2500 0.2500

Entry 6:
An optimized crystal structure of Ni2B4Ir5. Source: the Alexandria database, functional PBE.

Results
volume	10.979	Å³ per atom
DFT formation energy	-0.12	eV/atom

a b c (Å): 2.8031 7.9576 6.4905
angles (deg): 120.49 102.47 90.00
Fractional coordinates of all 11 atoms:
1 Ni 0.5344 0.6837 0.0689
2 Ir 0.2443 0.8383 0.4885
3 Ir 0.1507 0.3530 0.3015
4 B 0.1068 0.9210 0.2136
5 Ir 0.7557 0.1617 0.5115
6 Ni 0.4656 0.3163 0.9311
7 B 0.8932 0.0790 0.7864
8 Ir 0.8493 0.6470 0.6985
9 B 0.6509 0.5710 0.3019
10 B 0.3491 0.4290 0.6981
11 Ir 0.5000 0.0000 0.0000

Entry 7:
An optimized crystal structure of BaCuRh2. Source: the Alexandria database, functional PBE.

Results
volume	23.130	Å³ per atom
DFT formation energy	-0.05	eV/atom
offset from the most stable computed form	56	meV per atom

a b c (Å): 4.3122 7.5365 11.3876
angles (deg): 90.00 90.00 90.00
Fractional coordinates of all 16 atoms:
1 Cu 0.7500 0.9320 0.5498
2 Cu 0.2500 0.5680 0.0498
3 Ba 0.2500 0.7565 0.7929
4 Cu 0.7500 0.4320 0.9502
5 Cu 0.2500 0.0680 0.4502
6 Rh 0.2500 0.4216 0.4528
7 Ba 0.7500 0.2435 0.2071
8 Rh 0.7500 0.7444 0.0199
9 Rh 0.2500 0.7556 0.5199
10 Ba 0.7500 0.7435 0.2929
11 Rh 0.7500 0.2444 0.4801
12 Rh 0.7500 0.5784 0.5472
13 Rh 0.2500 0.9216 0.0472
14 Ba 0.2500 0.2565 0.7071
15 Rh 0.7500 0.0784 0.9528
16 Rh 0.2500 0.2556 0.9801

Entry 8:
An optimized crystal structure of RbInHgI2. Source: the Alexandria database, functional PBE.

Results
volume	47.474	Å³ per atom
E_form (uncorrected)	-695.1	meV per atom
offset from the most stable computed form	43	meV per atom

a b c (Å): 6.4788 6.4788 5.6550
angles (deg): 90.00 90.00 90.00
Fractional coordinates of all 5 atoms:
1 Hg 0.0000 0.0000 0.5000
2 Rb 0.5000 0.5000 0.5000
3 I 0.0000 0.5000 0.0000
4 I 0.5000 0.0000 0.0000
5 In 0.0000 0.0000 0.0000

Entry 9:
An optimized crystal structure of Y2SiSe. Source: the Alexandria database, functional PBE.

Results
volume	25.376	Å³ per atom
E_form (uncorrected)	-1218.5	meV per atom
offset from the most stable computed form	126	meV per atom

a b c (Å): 4.0658 4.0658 7.4687
angles (deg): 74.21 74.21 60.00
Fractional coordinates of all 4 atoms:
1 Si 0.6678 0.6678 0.9967
2 Y 0.0763 0.0763 0.7710
3 Y 0.2576 0.2576 0.2272
4 Se 0.4983 0.4983 0.5051

Entry 10:
An optimized crystal structure of TaMo3. Source: the Alexandria database, functional PBE.

Results
volume	16.370	Å³ per atom
DFT formation energy	-0.15	eV/atom

a b c (Å): 3.1923 22.1642 3.1923
angles (deg): 54.82 90.00 54.82
Fractional coordinates of all 8 atoms:
1 Mo 0.0005 0.1249 0.0005
2 Mo 0.9896 0.6276 0.9896
3 Ta 0.0055 0.4986 0.0055
4 Mo 0.9799 0.0050 0.9799
5 Mo 0.0104 0.7474 0.0104
6 Mo 0.9995 0.2501 0.9995
7 Mo 0.0201 0.3700 0.0201
8 Ta 0.9945 0.8764 0.9945

Entry 11:
An optimized crystal structure of Sb2HSe. Source: the Alexandria database, functional PBE.

Results
volume	23.376	Å³ per atom
offset from the most stable computed form	0	meV per atom

a b c (Å): 5.9168 5.9168 6.7852
angles (deg): 64.15 64.15 90.00
Fractional coordinates of all 8 atoms:
1 Sb 0.3750 0.4756 0.7500
2 Sb 0.2256 0.6250 0.2500
3 Se 0.0000 0.0000 0.0000
4 Se 0.7500 0.2500 0.5000
5 Sb 0.5244 0.1250 0.2500
6 H 0.2500 0.7500 0.5000
7 H 0.5000 0.5000 0.0000
8 Sb 0.8750 0.7744 0.7500

Entry 12:
An optimized crystal structure of CaGaMo3. Source: the Alexandria database, functional PBE.

Results
volume	21.329	Å³ per atom
DFT formation energy	1.31	eV/atom
offset from the most stable computed form	0	meV per atom

a b c (Å): 4.7422 4.7422 4.7422
angles (deg): 90.00 90.00 90.00
Fractional coordinates of all 5 atoms:
1 Ca 0.5000 0.5000 0.5000
2 Mo 0.0000 0.5000 0.0000
3 Ga 0.0000 0.0000 0.0000
4 Mo 0.5000 0.0000 0.0000
5 Mo 0.0000 0.0000 0.5000